1.
VASP calculation (PBE) on TmAlPd2 after structural relaxation.

The calculation puts the formation enthalpy at 0 K at -818 meV/atom.

It has space group P4/mmm (No. 123), with a = 4.563 Å, b = 4.563 Å, c = 3.407 Å, α = 90.00°, β = 90.00° and γ = 90.00°. The distinct sites, in fractional coordinates, are Tm at (0.000, 0.000, 0.000), Al at (0.500, 0.500, 0.000) and Pd at (0.000, 0.500, 0.500).


2.
VASP calculation (PBE) on HoHf4Ru5 after structural relaxation.

The calculation puts the formation enthalpy at 0 K at -752 meV/atom.

It has space group P4/mmm (No. 123), with a = 3.261 Å, b = 3.261 Å, c = 16.479 Å, α = 90.00°, β = 90.00° and γ = 90.00°. The distinct sites, in fractional coordinates, are Ho at (0.000, 0.000, 0.000), Hf at (0.000, 0.000, 0.203), Hf at (0.000, 0.000, 0.401), Ru at (0.500, 0.500, 0.112), Ru at (0.500, 0.500, 0.305) and Ru at (0.500, 0.500, 0.500).


3.
VASP calculation (PBE) on CaTi4O8 after structural relaxation.

The calculation puts the raw formation energy at -2.969 eV per atom.

It has space group C2/m (No. 12), with a = 10.310 Å, b = 5.972 Å, c = 7.547 Å, α = 90.00°, β = 132.09° and γ = 90.00°. The distinct sites, in fractional coordinates, are Ca at (0.000, 0.000, 0.000), Ti at (0.000, 0.250, 0.500), Ti at (0.223, 0.500, 0.446), O at (0.006, 0.000, 0.326), O at (0.016, 0.500, 0.695) and O at (0.236, 0.235, 0.309).


DFT total energy values (in Ry/atom) by entry order: -0.4019, -0.7224, -0.6323.
Total moment values (in μB/f.u.) by entry order: 0.0, 0.0, 2.0.